Entry from the Alexandria database: crystalline LaCe2N at its relaxed geometry (PBE-GGA).

Results
ΔE_f (raw)   -2.5 eV per formula unit
Fermi-level density of states   9.5 states/eV per cell
Energy relative to the lowest polymorph listed for this composition   0.0000 eV/atom
Spin magnetization   0.61 μB per formula unit

```
LaCe2N
1.0
-1.897 -2.231 -1.976
1.138 -3.304 -0.519
-4.721 -4.533 6.492
N Ce La
1 2 1
direct
0.500 0.500 0.500 N
0.781 0.781 0.657 Ce
0.219 0.219 0.343 Ce
0.000 0.000 0.000 La
```



Entry from the Alexandria database: crystalline PaAg2Cl7 at its relaxed geometry (PBE-GGA).

Results
ΔE_f (raw)   -12.5 eV per formula unit
Spin magnetization   0.00 μB per formula unit

```
PaAg2Cl7
1.0
-0.142 6.748 5.171
-0.294 -2.497 10.241
8.604 4.460 1.406
Pa Ag Cl
2 4 14
direct
0.003 0.250 0.750 Pa
0.997 0.750 0.250 Pa
0.705 0.076 0.543 Ag
0.677 0.576 0.043 Ag
0.323 0.424 0.957 Ag
0.295 0.924 0.457 Ag
0.879 0.510 0.727 Cl
0.884 0.010 0.227 Cl
0.291 0.677 0.961 Cl
0.361 0.215 0.563 Cl
0.669 0.250 0.750 Cl
0.071 0.177 0.461 Cl
0.138 0.285 0.937 Cl
0.862 0.715 0.063 Cl
0.929 0.823 0.539 Cl
0.331 0.750 0.250 Cl
0.639 0.785 0.437 Cl
0.709 0.323 0.039 Cl
0.116 0.990 0.773 Cl
0.121 0.490 0.273 Cl
```



Entry from the Alexandria database: crystalline LiMg2Hg at its relaxed geometry (PBE-GGA).

Results
Fermi-level density of states   1.3 states/eV per cell
Spin magnetization   0.00 μB per formula unit
Electronic total energy   -6.2 eV for the cell shown

```
LiMg2Hg
1.0
-1.327 -2.096 -2.349
-0.031 -2.664 2.394
-6.123 1.765 1.884
Mg Hg Li
2 1 1
direct
0.000 0.000 0.980 Mg
0.500 0.500 0.265 Mg
0.000 0.000 0.523 Hg
0.500 0.500 0.732 Li
```